1.
Below is crystalline NaLiCaZn2 at its relaxed geometry, with properties calculated at the PBE level.

Cell and atoms, written as extended XYZ:
```
5
Lattice="5.712 0.000 0.000 0.000 5.712 0.000 0.000 0.000 6.227" Properties=species:S:1:pos:R:3 pbc="T T T"
Na 0.000 0.000 0.000
Li 2.856 2.856 0.000
Ca 0.000 0.000 3.114
Zn 0.000 2.856 3.114
Zn 2.856 0.000 3.114
```

DOS at the Fermi energy	3.898	states/eV/cell
formation energy	0.596	eV/atom
space-group type	P4/mmm, No. 123

---

2.
Below is crystalline CeEuYSc at its relaxed geometry, with properties calculated at the PBE level.

Cell and atoms, written as extended XYZ:
```
4
Lattice="0.000 3.984 3.984 3.984 0.000 3.984 3.984 3.984 0.000" Properties=species:S:1:pos:R:3 pbc="T T T"
Ce 0.000 0.000 0.000
Eu 3.984 3.984 3.984
Y 1.992 1.992 1.992
Sc 5.976 5.976 5.976
```

DOS at the Fermi energy	9.184	states/eV/cell
formation energy	0.229	eV/atom
space-group type	F-43m, No. 216

---

3.
Below is crystalline Li6HoB3O9 at its relaxed geometry, with properties calculated at the PBE level.

Cell and atoms, written as extended XYZ:
```
76
Lattice="7.244 0.000 0.000 0.000 16.505 0.000 -1.772 0.000 6.462" Properties=species:S:1:pos:R:3 pbc="T T T"
Li 0.034 0.497 1.099
Li -0.852 7.755 4.329
Li 0.373 11.634 0.293
Li -0.513 13.123 3.524
Li 1.302 8.832 0.361
Li 0.416 15.925 3.592
Li 0.025 3.399 5.587
Li 0.911 4.853 2.356
Li 1.014 0.882 5.902
Li 1.900 7.370 2.672
Li 2.530 0.073 2.093
Li 1.644 8.180 5.323
Li 3.828 8.325 1.138
Li 2.942 16.432 4.369
Li 3.573 9.134 3.790
Li 4.458 15.623 0.559
Li 4.562 11.652 4.105
Li 5.448 13.105 0.875
Li 5.057 0.579 2.870
Li 4.171 7.673 6.101
Li 5.986 3.382 2.938
Li 5.100 4.870 6.169
Li 6.325 8.749 2.132
Li 5.439 16.008 5.363
Ho 1.544 11.388 5.474
Ho 2.430 13.369 2.243
Ho 3.043 3.135 4.218
Ho 3.929 5.117 0.987
B -0.778 10.160 4.458
B 0.108 14.597 1.227
B 0.667 2.000 3.239
B 1.553 6.252 0.009
B 2.415 10.496 2.186
B 1.529 14.261 5.417
B 3.944 2.244 1.045
B 3.058 6.008 4.275
B 3.920 10.252 6.453
B 4.805 14.505 3.222
B 5.364 1.908 5.235
B 6.250 6.344 2.004
O -0.461 1.464 2.675
O -1.346 6.789 5.906
O -0.712 11.528 4.715
O 0.174 13.229 1.484
O -0.873 1.306 5.961
O 0.013 6.946 2.730
O 0.260 9.391 4.985
O 1.146 15.366 1.755
O 0.759 3.346 3.608
O 1.644 4.907 0.377
O 2.285 11.320 1.070
O 1.399 13.437 4.301
O 1.797 1.229 3.511
O 2.683 7.024 0.281
O 2.408 9.136 2.094
O 1.522 15.621 5.325
O 2.618 11.130 3.415
O 3.504 13.627 0.184
O 1.968 2.878 6.278
O 2.854 5.374 3.047
O 3.950 0.883 1.137
O 3.064 7.369 4.367
O 2.789 9.481 6.181
O 3.675 15.276 2.950
O 4.073 3.067 2.161
O 3.188 5.185 5.392
O 3.828 11.598 6.085
O 4.714 13.159 2.854
O 4.327 1.139 4.707
O 5.212 7.113 1.476
O 5.459 9.558 3.731
O 6.345 15.199 0.500
O 5.299 3.275 4.977
O 6.185 4.977 1.747
O 6.819 9.716 0.555
O 5.933 15.041 3.786
```

DOS at the Fermi energy	0.000	states/eV/cell
space-group type	P2_1/c, No. 14

---

4.
Below is crystalline AlCo2W at its relaxed geometry, with properties calculated at the PBE level.

Cell and atoms, written as extended XYZ:
```
4
Lattice="2.789 -3.354 0.000 2.789 3.354 0.000 0.000 0.000 2.707" Properties=species:S:1:pos:R:3 pbc="T T T"
Al 0.000 0.000 0.000
Co 1.395 1.677 1.353
Co 1.395 -1.677 1.353
W 2.789 0.000 0.000
```

DOS at the Fermi energy	2.900	states/eV/cell
formation energy	-0.158	eV/atom
space-group type	Cmmm, No. 65

---

5.
Below is crystalline AgPd2Pb8 at its relaxed geometry, with properties calculated at the PBE level.

Cell and atoms, written as extended XYZ:
```
11
Lattice="8.976 -2.276 0.000 8.976 2.276 0.000 -2.081 0.000 7.225" Properties=species:S:1:pos:R:3 pbc="T T T"
Ag 0.000 0.000 0.000
Pd 5.009 0.000 2.069
Pd 10.863 0.000 5.156
Pb 0.742 0.000 3.523
Pb 1.045 0.000 6.981
Pb 3.887 0.000 4.865
Pb 7.927 0.000 1.690
Pb 7.945 0.000 5.535
Pb 11.985 0.000 2.360
Pb 14.827 0.000 0.244
Pb 15.130 0.000 3.702
```

DOS at the Fermi energy	5.004	states/eV/cell
formation energy	-0.067	eV/atom
space-group type	C2/m, No. 12

---

6.
Below is crystalline TaTeCl at its relaxed geometry, with properties calculated at the PBE level.

Cell and atoms, written as extended XYZ:
```
3
Lattice="0.000 3.411 3.411 3.411 0.000 3.411 3.411 3.411 0.000" Properties=species:S:1:pos:R:3 pbc="T T T"
Ta 0.000 0.000 0.000
Te 1.706 1.706 1.706
Cl 3.411 3.411 3.411
```

DOS at the Fermi energy	2.895	states/eV/cell
space-group type	F-43m, No. 216
energy relative to the lowest polymorph listed for this composition	1521	meV per atom

---

Values of VASP energy, in order: -4.8; -28.1; -512.2; -31.5; -43.6; -14.5, all in eV/cell.